# YTl2Bi2, optimized geometry, DFT PBE
# calculated formation energy: -0.1313 eV/atom
# magnetization: 0.00 μB per formula unit
data_YTl2Bi2
_chemical_formula_sum 'Y2 Tl4 Bi4'
_cell_length_a 8.118
_cell_length_b 8.118
_cell_length_c 5.088
_cell_angle_alpha 90.00
_cell_angle_beta 90.00
_cell_angle_gamma 90.00
_symmetry_space_group_name_H-M 'P 4/m b m'
_symmetry_Int_Tables_number 127
_symmetry_space_group_name_Hall '-P 4 2ab'
loop_
_atom_site_label
_atom_site_type_symbol
_atom_site_fract_x
_atom_site_fract_y
_atom_site_fract_z
Y1 Y 0.000 0.000 0.000
Tl1 Tl 0.180 0.320 0.500
Bi1 Bi 0.135 0.635 0.000

# HgBiI2Br, optimized geometry, DFT PBE
# ΔE_f (raw): -0.2823 eV per atom
# magnetization: 0.00 μB per formula unit
data_HgBiI2Br
_chemical_formula_sum 'Hg1 Bi1 I2 Br1'
_cell_length_a 6.165
_cell_length_b 6.165
_cell_length_c 5.768
_cell_angle_alpha 90.00
_cell_angle_beta 90.00
_cell_angle_gamma 90.00
_symmetry_space_group_name_H-M 'P 4/m m m'
_symmetry_Int_Tables_number 123
_symmetry_space_group_name_Hall '-P 4 2'
loop_
_atom_site_label
_atom_site_type_symbol
_atom_site_fract_x
_atom_site_fract_y
_atom_site_fract_z
Hg1 Hg 0.000 0.000 0.000
Bi1 Bi 0.500 0.500 0.500
I1 I 0.000 0.500 0.500
Br1 Br 0.500 0.500 0.000

# BaCrRh2, optimized geometry, DFT PBE
# calculated formation energy: 0.5499 eV/atom
# magnetization: 3.74 μB per formula unit
data_BaCrRh2
_chemical_formula_sum 'Ba2 Cr2 Rh4'
_cell_length_a 6.539
_cell_length_b 7.546
_cell_length_c 3.249
_cell_angle_alpha 90.00
_cell_angle_beta 90.00
_cell_angle_gamma 90.00
_symmetry_space_group_name_H-M 'C m m m'
_symmetry_Int_Tables_number 65
_symmetry_space_group_name_Hall '-C 2 2'
loop_
_atom_site_label
_atom_site_type_symbol
_atom_site_fract_x
_atom_site_fract_y
_atom_site_fract_z
Ba1 Ba 0.000 0.000 0.000
Cr1 Cr 0.000 0.500 0.000
Rh1 Rh 0.250 0.250 0.500

# K3NpRh2S6, optimized geometry, DFT PBE
# ΔE_f (raw): -0.9346 eV per atom
# magnetization: 3.92 μB per formula unit
data_K3NpRh2S6
_chemical_formula_sum 'K6 Np2 Rh4 S12'
_cell_length_a 6.434
_cell_length_b 11.147
_cell_length_c 7.664
_cell_angle_alpha 90.00
_cell_angle_beta 106.42
_cell_angle_gamma 90.00
_symmetry_space_group_name_H-M 'C 1 2/m 1'
_symmetry_Int_Tables_number 12
loop_
_symmetry_equiv_pos_as_xyz
'x,y,z'
'-x,-y,-z'
'-x,y,-z'
'x,-y,z'
'x+1/2,y+1/2,z'
'-x+1/2,-y+1/2,-z'
'-x+1/2,y+1/2,-z'
'x+1/2,-y+1/2,z'
loop_
_atom_site_label
_atom_site_type_symbol
_atom_site_fract_x
_atom_site_fract_y
_atom_site_fract_z
K1 K 0.000 0.000 0.000
K2 K 0.000 0.339 0.000
Np1 Np 0.000 0.500 0.500
Rh1 Rh 0.000 0.167 0.500
S1 S 0.201 0.000 0.685
S2 S 0.243 0.319 0.686

# KY2NbS, optimized geometry, DFT PBE
# ΔE_f (raw): 1.4507 eV per atom
# magnetization: 2.01 μB per formula unit
data_KY2NbS
_chemical_formula_sum 'K1 Y2 Nb1 S1'
_cell_length_a 5.394
_cell_length_b 5.394
_cell_length_c 5.006
_cell_angle_alpha 90.00
_cell_angle_beta 90.00
_cell_angle_gamma 90.00
_symmetry_space_group_name_H-M 'P 4/m m m'
_symmetry_Int_Tables_number 123
_symmetry_space_group_name_Hall '-P 4 2'
loop_
_atom_site_label
_atom_site_type_symbol
_atom_site_fract_x
_atom_site_fract_y
_atom_site_fract_z
K1 K 0.000 0.000 0.000
Y1 Y 0.000 0.500 0.000
Nb1 Nb 0.500 0.500 0.500
S1 S 0.000 0.000 0.500

# SrBeIr2, optimized geometry, DFT PBE
# calculated formation energy: 0.0438 eV/atom
# magnetization: 0.00 μB per formula unit
data_SrBeIr2
_chemical_formula_sum 'Sr2 Be2 Ir4'
_cell_length_a 8.818
_cell_length_b 2.973
_cell_length_c 5.919
_cell_angle_alpha 90.00
_cell_angle_beta 109.10
_cell_angle_gamma 90.00
_symmetry_space_group_name_H-M 'C 1 2/m 1'
_symmetry_Int_Tables_number 12
loop_
_symmetry_equiv_pos_as_xyz
'x,y,z'
'-x,-y,-z'
'-x,y,-z'
'x,-y,z'
'x+1/2,y+1/2,z'
'-x+1/2,-y+1/2,-z'
'-x+1/2,y+1/2,-z'
'x+1/2,-y+1/2,z'
loop_
_atom_site_label
_atom_site_type_symbol
_atom_site_fract_x
_atom_site_fract_y
_atom_site_fract_z
Sr1 Sr 0.000 0.000 0.000
Be1 Be 0.000 0.500 0.500
Ir1 Ir 0.204 0.000 0.645